[1]
The following is a DFT calculation (PBE-GGA) of a relaxed Ca2SnCl crystal.

calculated total energy = -13.70 eV/f.u.
formation energy from raw total energies = -0.963 eV/atom
offset from the most stable computed form = 0.155 eV per atom
calculated volume = 253.9 Å³/cell

a b c (Å): 6.914 6.914 6.914
angles (deg): 110.96 110.96 106.53
Element x y z (fractional)
Ca: 0.089 0.625 0.964
Ca: 0.375 0.339 0.464
Ca: 0.661 0.125 0.036
Ca: 0.875 0.911 0.536
Sn: 0.250 0.750 0.500
Sn: 0.500 0.500 0.000
Cl: 0.000 0.000 0.000
Cl: 0.750 0.250 0.500



[2]
The following is a DFT calculation (PBE-GGA) of a relaxed PRuS2 crystal.

calculated total energy = -22.19 eV/f.u.
formation energy from raw total energies = 0.187 eV/atom
calculated volume = 74.9 Å³/cell

a b c (Å): 7.456 7.456 7.456
angles (deg): 26.92 26.92 26.92
Element x y z (fractional)
P: 0.000 0.000 0.000
Ru: 0.500 0.500 0.500
S: 0.109 0.109 0.109
S: 0.891 0.891 0.891



[3]
The following is a DFT calculation (PBE-GGA) of a relaxed CaCrH3 crystal.

calculated total energy = -16.73 eV/f.u.
offset from the most stable computed form = 1.207 eV per atom
calculated volume = 58.0 Å³/cell

a b c (Å): 3.871 3.871 3.871
angles (deg): 90.00 90.00 90.00
Element x y z (fractional)
Ca: 0.000 0.000 0.000
Cr: 0.500 0.500 0.500
H: 0.000 0.000 0.500
H: 0.000 0.500 0.000
H: 0.500 0.000 0.000



[4]
The following is a DFT calculation (PBE-GGA) of a relaxed TlSbTeN2 crystal.

calculated total energy = -17.56 eV/f.u.
formation energy from raw total energies = 1.745 eV/atom
offset from the most stable computed form = 0.605 eV per atom
calculated volume = 125.0 Å³/cell

a b c (Å): 4.479 4.479 6.232
angles (deg): 90.00 90.00 90.00
Element x y z (fractional)
Tl: 0.000 0.000 0.000
Sb: 0.500 0.500 0.500
Te: 0.000 0.000 0.500
N: 0.000 0.500 0.000
N: 0.500 0.000 0.000



[5]
The following is a DFT calculation (PBE-GGA) of a relaxed CdRh2Pb2 crystal.

calculated total energy = -23.32 eV/f.u.
calculated volume = 211.6 Å³/cell

a b c (Å): 6.945 6.945 6.945
angles (deg): 116.97 82.49 132.63
Element x y z (fractional)
Cd: 0.250 0.250 0.000
Cd: 0.750 0.750 0.000
Rh: 0.075 0.681 0.756
Rh: 0.425 0.181 0.605
Rh: 0.575 0.819 0.395
Rh: 0.925 0.319 0.244
Pb: 0.187 0.341 0.528
Pb: 0.313 0.841 0.154
Pb: 0.687 0.159 0.846
Pb: 0.813 0.659 0.472



[6]
The following is a DFT calculation (PBE-GGA) of a relaxed NaAlBiTe3 crystal.

calculated total energy = -20.83 eV/f.u.
formation energy from raw total energies = -0.411 eV/atom
calculated volume = 453.5 Å³/cell

a b c (Å): 9.238 4.361 11.303
angles (deg): 90.00 95.24 90.00
Element x y z (fractional)
Na: 0.151 0.250 0.140
Na: 0.849 0.750 0.860
Al: 0.076 0.250 0.603
Al: 0.924 0.750 0.397
Bi: 0.368 0.750 0.843
Bi: 0.632 0.250 0.157
Te: 0.098 0.250 0.835
Te: 0.197 0.750 0.508
Te: 0.408 0.750 0.144
Te: 0.592 0.250 0.856
Te: 0.803 0.250 0.492
Te: 0.902 0.750 0.165



[7]
The following is a DFT calculation (PBE-GGA) of a relaxed ZrTiCo2 crystal.

calculated total energy = -29.03 eV/f.u.
offset from the most stable computed form = 0.731 eV per atom
calculated volume = 137.6 Å³/cell

a b c (Å): 8.288 8.288 8.288
angles (deg): 150.52 150.52 42.18
Element x y z (fractional)
Zr: 0.000 0.000 0.000
Zr: 0.750 0.250 0.500
Ti: 0.250 0.750 0.500
Ti: 0.500 0.500 0.000
Co: 0.247 0.625 0.122
Co: 0.375 0.497 0.622
Co: 0.503 0.125 0.878
Co: 0.875 0.753 0.378



[8]
The following is a DFT calculation (PBE-GGA) of a relaxed Cs3PdBr5 crystal.

calculated total energy = -27.92 eV/f.u.
formation energy from raw total energies = -1.312 eV/atom
calculated volume = 769.1 Å³/cell

a b c (Å): 9.677 9.677 8.214
angles (deg): 90.00 90.00 90.00
Element x y z (fractional)
Cs: 0.000 0.000 0.000
Cs: 0.168 0.332 0.500
Cs: 0.332 0.832 0.500
Cs: 0.500 0.500 0.000
Cs: 0.668 0.168 0.500
Cs: 0.832 0.668 0.500
Pd: 0.000 0.500 0.000
Pd: 0.500 0.000 0.000
Br: 0.000 0.000 0.500
Br: 0.129 0.629 0.209
Br: 0.129 0.629 0.791
Br: 0.371 0.129 0.209
Br: 0.371 0.129 0.791
Br: 0.500 0.500 0.500
Br: 0.629 0.871 0.209
Br: 0.629 0.871 0.791
Br: 0.871 0.371 0.209
Br: 0.871 0.371 0.791



[9]
The following is a DFT calculation (PBE-GGA) of a relaxed LiV2PdPt crystal.

calculated total energy = -27.99 eV/f.u.
calculated volume = 98.9 Å³/cell

a b c (Å): 4.721 4.721 4.438
angles (deg): 90.00 90.00 90.00
Element x y z (fractional)
Li: 0.000 0.000 0.000
V: 0.000 0.500 0.500
V: 0.500 0.000 0.500
Pd: 0.500 0.500 0.000
Pt: 0.000 0.000 0.500



[10]
The following is a DFT calculation (PBE-GGA) of a relaxed Ho2ScSe2O2 crystal.

calculated total energy = -49.22 eV/f.u.
formation energy from raw total energies = -2.407 eV/atom
calculated volume = 123.4 Å³/cell

a b c (Å): 8.025 8.025 8.025
angles (deg): 150.71 150.71 41.91
Element x y z (fractional)
Ho: 0.122 0.122 0.000
Ho: 0.878 0.878 0.000
Sc: 0.500 0.500 0.000
Se: 0.320 0.320 0.000
Se: 0.680 0.680 0.000
O: 0.000 0.500 0.500
O: 0.500 0.000 0.500



[11]
The following is a DFT calculation (PBE-GGA) of a relaxed Y8P3S3N crystal.

calculated total energy = -113.71 eV/f.u.
formation energy from raw total energies = -1.670 eV/atom
calculated volume = 338.2 Å³/cell

a b c (Å): 7.809 7.809 7.809
angles (deg): 60.19 60.19 60.19
Element x y z (fractional)
Y: 0.227 0.770 0.770
Y: 0.230 0.230 0.773
Y: 0.230 0.773 0.230
Y: 0.247 0.247 0.247
Y: 0.753 0.753 0.753
Y: 0.770 0.227 0.770
Y: 0.770 0.770 0.227
Y: 0.773 0.230 0.230
P: 0.000 0.000 0.500
P: 0.000 0.500 0.000
P: 0.500 0.000 0.000
S: 0.000 0.500 0.500
S: 0.500 0.000 0.500
S: 0.500 0.500 0.000
N: 0.000 0.000 0.000



[12]
The following is a DFT calculation (PBE-GGA) of a relaxed Sr2MgCu3Ge4 crystal.

calculated total energy = -39.33 eV/f.u.
calculated volume = 200.1 Å³/cell

a b c (Å): 4.318 4.318 10.733
angles (deg): 90.00 90.00 90.00
Element x y z (fractional)
Sr: 0.000 0.500 0.243
Sr: 0.500 0.000 0.757
Mg: 0.000 0.000 0.500
Cu: 0.000 0.500 0.875
Cu: 0.500 0.000 0.125
Cu: 0.500 0.500 0.500
Ge: 0.000 0.000 0.000
Ge: 0.000 0.500 0.644
Ge: 0.500 0.000 0.356
Ge: 0.500 0.500 0.000



Copy entry 4 word for word.
The following is a DFT calculation (PBE-GGA) of a relaxed TlSbTeN2 crystal.

calculated total energy = -17.56 eV/f.u.
formation energy from raw total energies = 1.745 eV/atom
offset from the most stable computed form = 0.605 eV per atom
calculated volume = 125.0 Å³/cell

a b c (Å): 4.479 4.479 6.232
angles (deg): 90.00 90.00 90.00
Element x y z (fractional)
Tl: 0.000 0.000 0.000
Sb: 0.500 0.500 0.500
Te: 0.000 0.000 0.500
N: 0.000 0.500 0.000
N: 0.500 0.000 0.000



Question: calculated total energy of number 12 (Sr2MgCu3Ge4)?
Answer: -39.33 eV/f.u.



Question: calculated volume of number 5 (CdRh2Pb2)?
Answer: 211.6 Å³/cell